! LiBSe2 PBE relaxed; values from VASP
&SYSTEM
  ibrav = 0, nat = 8, ntyp = 3
/
ATOMIC_SPECIES
B 10.81 B.upf
Se 78.96 Se.upf
Li 6.94 Li.upf
ATOMIC_POSITIONS angstrom
B 4.637 1.897 1.991
B 5.562 1.831 0.577
Se 5.460 1.037 3.714
Se 2.559 1.748 1.827
Se 4.297 3.838 2.788
Se 6.899 3.382 0.184
Li 1.738 3.990 3.550
Li 1.212 1.018 3.964
CELL_PARAMETERS angstrom
6.957 0.004 0.000
3.910 5.782 -0.004
-0.667 1.004 4.018
! * E_tot: -34.47 eV for the cell shown
! * space group: P1, No. 1
! * ΔE_f (raw): -0.419 eV/atom